Computed, not measured: a relaxed NbNiHgAs crystal at the PBE-GGA level of DFT.

Unit cell a=4.654 b=4.654 c=4.654 alpha=60.00 beta=60.00 gamma=60.00
Atoms (fractional coordinates):
Nb: 0.000 0.000 0.000
Ni: 0.750 0.750 0.750
Hg: 0.250 0.250 0.250
As: 0.500 0.500 0.500

Properties
- crystal system = cubic
- electronic total energy (eV/atom) = -4.61
- energy relative to the lowest polymorph listed for this composition (meV/atom) = 313

=====

Computed, not measured: a relaxed NbHgAsO crystal at the PBE-GGA level of DFT.

Unit cell a=4.982 b=4.982 c=5.184 alpha=90.00 beta=90.00 gamma=90.00
Atoms (fractional coordinates):
Nb: 0.250 0.750 0.000
Nb: 0.750 0.250 0.000
Hg: 0.250 0.250 0.345
Hg: 0.750 0.750 0.655
As: 0.250 0.250 0.831
As: 0.750 0.750 0.169
O: 0.250 0.750 0.500
O: 0.750 0.250 0.500

Properties
- crystal system = tetragonal
- electronic total energy (eV/atom) = -5.15
- energy relative to the lowest polymorph listed for this composition (meV/atom) = 663

=====

Computed, not measured: a relaxed NbHgAsO crystal at the PBE-GGA level of DFT.

Unit cell a=3.526 b=9.349 c=5.221 alpha=90.00 beta=90.00 gamma=90.00
Atoms (fractional coordinates):
Nb: 0.000 0.114 0.000
Nb: 0.000 0.886 0.500
Hg: 0.500 0.434 0.535
Hg: 0.500 0.566 0.035
As: 0.000 0.158 0.499
As: 0.000 0.842 0.999
O: 0.500 0.201 0.000
O: 0.500 0.799 0.500

Properties
- crystal system = orthorhombic
- electronic total energy (eV/atom) = -5.81
- energy relative to the lowest polymorph listed for this composition (meV/atom) = 0

=====

Computed, not measured: a relaxed NbHgAsO crystal at the PBE-GGA level of DFT.

Unit cell a=3.633 b=3.633 c=11.112 alpha=90.00 beta=90.00 gamma=90.00
Atoms (fractional coordinates):
Nb: 0.250 0.250 0.111
Nb: 0.750 0.750 0.889
Hg: 0.250 0.750 0.500
Hg: 0.750 0.250 0.500
As: 0.250 0.250 0.771
As: 0.750 0.750 0.229
O: 0.250 0.750 0.000
O: 0.750 0.250 0.000

Properties
- crystal system = tetragonal
- electronic total energy (eV/atom) = -5.59
- energy relative to the lowest polymorph listed for this composition (meV/atom) = 227

=====

Computed, not measured: a relaxed NbHgAsO crystal at the PBE-GGA level of DFT.

Unit cell a=4.259 b=4.259 c=8.106 alpha=90.00 beta=90.00 gamma=90.00
Atoms (fractional coordinates):
Nb: 0.250 0.750 0.000
Nb: 0.750 0.250 0.000
Hg: 0.250 0.250 0.384
Hg: 0.750 0.750 0.616
As: 0.250 0.250 0.816
As: 0.750 0.750 0.184
O: 0.250 0.750 0.500
O: 0.750 0.250 0.500

Properties
- crystal system = tetragonal
- electronic total energy (eV/atom) = -4.98
- energy relative to the lowest polymorph listed for this composition (meV/atom) = 830

=====

Computed, not measured: a relaxed NbHgAsO crystal at the PBE-GGA level of DFT.

Unit cell a=3.558 b=6.997 c=7.260 alpha=90.00 beta=90.00 gamma=90.00
Atoms (fractional coordinates):
Nb: 0.000 0.094 0.000
Nb: 0.000 0.906 0.500
Hg: 0.500 0.276 0.546
Hg: 0.500 0.724 0.046
As: 0.500 0.342 0.953
As: 0.500 0.658 0.453
O: 0.000 0.033 0.261
O: 0.000 0.967 0.761

Properties
- crystal system = orthorhombic
- electronic total energy (eV/atom) = -5.74
- energy relative to the lowest polymorph listed for this composition (meV/atom) = 74

=====

Computed, not measured: a relaxed NdHgAs crystal at the PBE-GGA level of DFT.

Unit cell a=5.032 b=5.032 c=5.032 alpha=60.00 beta=60.00 gamma=60.00
Atoms (fractional coordinates):
Nd: 0.000 0.000 0.000
Hg: 0.250 0.250 0.250
As: 0.750 0.750 0.750

Properties
- crystal system = cubic
- electronic total energy (eV/atom) = -3.83
- energy relative to the lowest polymorph listed for this composition (meV/atom) = 0

=====

Computed, not measured: a relaxed NdHgAs crystal at the PBE-GGA level of DFT.

Unit cell a=4.923 b=4.923 c=4.923 alpha=60.00 beta=60.00 gamma=60.00
Atoms (fractional coordinates):
Nd: 0.000 0.000 0.000
Hg: 0.500 0.500 0.500
As: 0.750 0.750 0.750

Properties
- crystal system = cubic
- electronic total energy (eV/atom) = -3.73
- energy relative to the lowest polymorph listed for this composition (meV/atom) = 97

=====

Computed, not measured: a relaxed NiHgAsOs crystal at the PBE-GGA level of DFT.

Unit cell a=4.516 b=4.516 c=4.516 alpha=60.00 beta=60.00 gamma=60.00
Atoms (fractional coordinates):
Ni: 0.000 0.000 0.000
Hg: 0.500 0.500 0.500
As: 0.750 0.750 0.750
Os: 0.250 0.250 0.250

Properties
- crystal system = cubic
- electronic total energy (eV/atom) = -4.48

=====

Computed, not measured: a relaxed NiHgAsPd crystal at the PBE-GGA level of DFT.

Unit cell a=4.512 b=4.512 c=4.512 alpha=60.00 beta=60.00 gamma=60.00
Atoms (fractional coordinates):
Ni: 0.000 0.000 0.000
Hg: 0.250 0.250 0.250
As: 0.750 0.750 0.750
Pd: 0.500 0.500 0.500

Properties
- crystal system = cubic
- electronic total energy (eV/atom) = -3.86
- energy relative to the lowest polymorph listed for this composition (meV/atom) = 0

=====

Computed, not measured: a relaxed ReNiHgAs crystal at the PBE-GGA level of DFT.

Unit cell a=4.578 b=4.578 c=4.578 alpha=60.00 beta=60.00 gamma=60.00
Atoms (fractional coordinates):
Re: 0.000 0.000 0.000
Ni: 0.750 0.750 0.750
Hg: 0.250 0.250 0.250
As: 0.500 0.500 0.500

Properties
- crystal system = cubic
- electronic total energy (eV/atom) = -4.69

=====

Computed, not measured: a relaxed ScNiHgAs crystal at the PBE-GGA level of DFT.

Unit cell a=4.633 b=4.633 c=4.633 alpha=60.00 beta=60.00 gamma=60.00
Atoms (fractional coordinates):
Sc: 0.000 0.000 0.000
Ni: 0.500 0.500 0.500
Hg: 0.750 0.750 0.750
As: 0.250 0.250 0.250

Properties
- crystal system = cubic
- electronic total energy (eV/atom) = -4.49
- energy relative to the lowest polymorph listed for this composition (meV/atom) = 0

=====

Computed, not measured: a relaxed ScNiHgAs crystal at the PBE-GGA level of DFT.

Unit cell a=4.681 b=4.681 c=4.681 alpha=60.00 beta=60.00 gamma=60.00
Atoms (fractional coordinates):
Sc: 0.000 0.000 0.000
Ni: 0.750 0.750 0.750
Hg: 0.250 0.250 0.250
As: 0.500 0.500 0.500

Properties
- crystal system = cubic
- electronic total energy (eV/atom) = -4.33
- energy relative to the lowest polymorph listed for this composition (meV/atom) = 161

=====

Computed, not measured: a relaxed TcNiHgAs crystal at the PBE-GGA level of DFT.

Unit cell a=4.442 b=4.442 c=4.442 alpha=60.00 beta=60.00 gamma=60.00
Atoms (fractional coordinates):
Tc: 0.000 0.000 0.000
Ni: 0.500 0.500 0.500
Hg: 0.750 0.750 0.750
As: 0.250 0.250 0.250

Properties
- crystal system = cubic
- electronic total energy (eV/atom) = -4.82
- energy relative to the lowest polymorph listed for this composition (meV/atom) = 0

=====

Computed, not measured: a relaxed HgAs2O crystal at the PBE-GGA level of DFT.

Unit cell a=4.026 b=4.026 c=8.978 alpha=90.00 beta=90.00 gamma=90.00
Atoms (fractional coordinates):
Hg: 0.250 0.750 0.000
Hg: 0.750 0.250 0.000
As: 0.250 0.250 0.221
As: 0.250 0.250 0.600
As: 0.750 0.750 0.400
As: 0.750 0.750 0.779
O: 0.250 0.750 0.500
O: 0.750 0.250 0.500

Properties
- crystal system = tetragonal
- electronic total energy (eV/atom) = -3.55
- energy relative to the lowest polymorph listed for this composition (meV/atom) = 329

=====

Computed, not measured: a relaxed HgAs2O crystal at the PBE-GGA level of DFT.

Unit cell a=3.657 b=6.857 c=6.833 alpha=90.00 beta=90.00 gamma=90.00
Atoms (fractional coordinates):
Hg: 0.000 0.188 0.000
Hg: 0.000 0.812 0.500
As: 0.000 0.188 0.380
As: 0.000 0.812 0.880
As: 0.500 0.379 0.546
As: 0.500 0.621 0.046
O: 0.500 0.263 0.779
O: 0.500 0.737 0.279

Properties
- crystal system = orthorhombic
- electronic total energy (eV/atom) = -3.88
- energy relative to the lowest polymorph listed for this composition (meV/atom) = 0

=====

Computed, not measured: a relaxed HgAs2O crystal at the PBE-GGA level of DFT.

Unit cell a=4.555 b=4.555 c=8.272 alpha=90.00 beta=90.00 gamma=90.00
Atoms (fractional coordinates):
Hg: 0.250 0.250 0.045
Hg: 0.750 0.750 0.955
As: 0.250 0.250 0.652
As: 0.250 0.750 0.500
As: 0.750 0.250 0.500
As: 0.750 0.750 0.348
O: 0.250 0.750 0.000
O: 0.750 0.250 0.000

Properties
- crystal system = tetragonal
- electronic total energy (eV/atom) = -3.51
- energy relative to the lowest polymorph listed for this composition (meV/atom) = 372

=====

Computed, not measured: a relaxed HgAsOsO crystal at the PBE-GGA level of DFT.

Unit cell a=4.100 b=4.100 c=8.080 alpha=90.00 beta=90.00 gamma=90.00
Atoms (fractional coordinates):
Hg: 0.250 0.250 0.126
Hg: 0.750 0.750 0.874
As: 0.250 0.250 0.675
As: 0.750 0.750 0.325
Os: 0.250 0.750 0.500
Os: 0.750 0.250 0.500
O: 0.250 0.750 0.000
O: 0.750 0.250 0.000

Properties
- crystal system = tetragonal
- electronic total energy (eV/atom) = -5.02
- energy relative to the lowest polymorph listed for this composition (meV/atom) = 343

=====

Computed, not measured: a relaxed HgAsOsO crystal at the PBE-GGA level of DFT.

Unit cell a=3.695 b=8.989 c=5.001 alpha=90.00 beta=90.00 gamma=90.00
Atoms (fractional coordinates):
Hg: 0.000 0.082 0.000
Hg: 0.000 0.918 0.500
As: 0.500 0.386 0.948
As: 0.500 0.614 0.448
Os: 0.500 0.343 0.448
Os: 0.500 0.657 0.948
O: 0.000 0.324 0.450
O: 0.000 0.676 0.950

Properties
- crystal system = orthorhombic
- electronic total energy (eV/atom) = -5.36
- energy relative to the lowest polymorph listed for this composition (meV/atom) = 0

=====

Computed, not measured: a relaxed HgAsOsO crystal at the PBE-GGA level of DFT.

Unit cell a=4.040 b=4.040 c=8.858 alpha=90.00 beta=90.00 gamma=90.00
Atoms (fractional coordinates):
Hg: 0.250 0.750 0.000
Hg: 0.750 0.250 0.000
As: 0.250 0.250 0.297
As: 0.750 0.750 0.703
Os: 0.250 0.250 0.578
Os: 0.750 0.750 0.422
O: 0.250 0.750 0.500
O: 0.750 0.250 0.500

Properties
- crystal system = tetragonal
- electronic total energy (eV/atom) = -4.71
- energy relative to the lowest polymorph listed for this composition (meV/atom) = 654

=====

Computed, not measured: a relaxed HgAsPO crystal at the PBE-GGA level of DFT.

Unit cell a=4.244 b=5.939 c=5.780 alpha=90.00 beta=90.00 gamma=90.00
Atoms (fractional coordinates):
Hg: 0.000 0.195 0.000
Hg: 0.000 0.805 0.500
As: 0.500 0.262 0.451
As: 0.500 0.738 0.951
P: 0.500 0.347 0.854
P: 0.500 0.653 0.354
O: 0.000 0.213 0.422
O: 0.000 0.787 0.922

Properties
- crystal system = orthorhombic
- electronic total energy (eV/atom) = -3.97
- energy relative to the lowest polymorph listed for this composition (meV/atom) = 91

=====

Computed, not measured: a relaxed Hg2AsPO7 crystal at the PBE-GGA level of DFT.

Unit cell a=5.708 b=5.708 c=4.787 alpha=96.39 beta=96.39 gamma=104.03
Atoms (fractional coordinates):
Hg: 0.201 0.799 0.000
Hg: 0.799 0.201 0.000
As: 0.296 0.296 0.572
P: 0.733 0.733 0.419
O: 0.103 0.428 0.739
O: 0.182 0.182 0.227
O: 0.428 0.103 0.739
O: 0.552 0.552 0.578
O: 0.590 0.873 0.238
O: 0.873 0.590 0.238
O: 0.909 0.909 0.662

Properties
- crystal system = monoclinic
- electronic total energy (eV/atom) = -5.29

=====

Computed, not measured: a relaxed HgAsPO crystal at the PBE-GGA level of DFT.

Unit cell a=3.999 b=3.999 c=8.560 alpha=90.00 beta=90.00 gamma=90.00
Atoms (fractional coordinates):
Hg: 0.250 0.750 0.000
Hg: 0.750 0.250 0.000
As: 0.250 0.250 0.393
As: 0.750 0.750 0.607
P: 0.250 0.250 0.784
P: 0.750 0.750 0.216
O: 0.250 0.750 0.500
O: 0.750 0.250 0.500

Properties
- crystal system = tetragonal
- electronic total energy (eV/atom) = -3.65
- energy relative to the lowest polymorph listed for this composition (meV/atom) = 409

=====

Computed, not measured: a relaxed HgAsPO crystal at the PBE-GGA level of DFT.

Unit cell a=3.542 b=6.941 c=6.608 alpha=90.00 beta=90.00 gamma=90.00
Atoms (fractional coordinates):
Hg: 0.000 0.155 0.000
Hg: 0.000 0.845 0.500
As: 0.500 0.369 0.534
As: 0.500 0.631 0.034
P: 0.000 0.193 0.372
P: 0.000 0.807 0.872
O: 0.500 0.253 0.773
O: 0.500 0.747 0.273

Properties
- crystal system = orthorhombic
- electronic total energy (eV/atom) = -4.06
- energy relative to the lowest polymorph listed for this composition (meV/atom) = 0

=====

Computed, not measured: a relaxed HgAsPO crystal at the PBE-GGA level of DFT.

Unit cell a=4.517 b=4.517 c=8.067 alpha=90.00 beta=90.00 gamma=90.00
Atoms (fractional coordinates):
Hg: 0.250 0.250 0.031
Hg: 0.750 0.750 0.969
As: 0.250 0.750 0.500
As: 0.750 0.250 0.500
P: 0.250 0.250 0.634
P: 0.750 0.750 0.366
O: 0.250 0.750 0.000
O: 0.750 0.250 0.000

Properties
- crystal system = tetragonal
- electronic total energy (eV/atom) = -3.64
- energy relative to the lowest polymorph listed for this composition (meV/atom) = 422

=====

Computed, not measured: a relaxed HgAsPO crystal at the PBE-GGA level of DFT.

Unit cell a=4.485 b=4.485 c=8.121 alpha=90.00 beta=90.00 gamma=90.00
Atoms (fractional coordinates):
Hg: 0.250 0.250 0.048
Hg: 0.750 0.750 0.952
As: 0.250 0.750 0.500
As: 0.750 0.250 0.500
P: 0.250 0.250 0.636
P: 0.750 0.750 0.364
O: 0.250 0.750 0.000
O: 0.750 0.250 0.000

Properties
- crystal system = tetragonal
- electronic total energy (eV/atom) = -3.63
- energy relative to the lowest polymorph listed for this composition (meV/atom) = 427